Entry one
A plane-wave DFT calculation with PBE was carried out for a geometry-optimized NbAs3Pd structure.

a b c (Å): 4.7783 4.7783 4.7783
angles (deg): 90.00 90.00 90.00
Space group Pm-3m (No. 221)
One atom of each set of equivalent atoms:
Nb 0.0000 0.0000 0.0000
As 0.0000 0.5000 0.5000
Pd 0.5000 0.5000 0.5000

* volume: 109 Å³/cell
* magnetization: 0.00 μB/f.u.

Entry two
A plane-wave DFT calculation with PBE was carried out for a geometry-optimized NbAs3Pd structure.

a b c (Å): 4.9543 4.9543 4.9543
angles (deg): 90.00 90.00 90.00
Space group Pm-3m (No. 221)
One atom of each set of equivalent atoms:
Nb 0.0000 0.0000 0.0000
As 0.0000 0.0000 0.5000
Pd 0.5000 0.5000 0.5000

* volume: 122 Å³/cell
* magnetization: 0.00 μB/f.u.

Energies relative to the most stable structure, in meV per atom: entry one 332; entry two 0.

Entry one
A plane-wave DFT calculation with PBE was carried out for a geometry-optimized RbNbTlAsPd structure.

a b c (Å): 3.4456 3.4456 19.8175
angles (deg): 90.00 90.00 90.00
Space group I4mm (No. 107)
One atom of each set of equivalent atoms:
Rb 0.0000 0.0000 0.0000
Nb 0.0000 0.0000 0.8039
Tl 0.0000 0.0000 0.1998
As 0.0000 0.0000 0.3608
Pd 0.0000 0.0000 0.6326

* volume: 235 Å³/cell
* magnetization: 0.00 μB/f.u.

Entry two
A plane-wave DFT calculation with PBE was carried out for a geometry-optimized RbNbTlAsPd structure.

a b c (Å): 17.0955 4.3704 3.6941
angles (deg): 90.00 99.68 90.00
Space group Cm (No. 8)
One atom of each set of equivalent atoms:
Rb 0.0000 0.0000 0.0000
Nb 0.2759 0.0000 0.8198
Tl 0.1553 0.5000 0.6136
As 0.3804 0.0000 0.4158
Pd 0.2942 0.5000 0.2431

* volume: 272 Å³/cell
* magnetization: 0.23 μB/f.u.

Energies relative to the most stable structure, in meV per atom: entry one 61; entry two 0.

Entry one
A plane-wave DFT calculation with PBE was carried out for a geometry-optimized RbNbTlAsPd structure.

a b c (Å): 4.6221 5.2165 5.7054
angles (deg): 86.58 80.49 89.28
Space group P1 (No. 1)
One atom of each set of equivalent atoms:
Rb 0.0000 0.0000 0.0000
Nb 0.4049 0.5679 0.4342
Tl 0.5367 0.5279 0.9141
As 0.4090 0.0614 0.4473
Pd 0.9008 0.3423 0.4915

* volume: 135 Å³/cell
* magnetization: 0.00 μB/f.u.

Entry two
A plane-wave DFT calculation with PBE was carried out for a geometry-optimized RbNbTlAsPd structure.

a b c (Å): 17.8966 4.4116 3.0704
angles (deg): 90.00 91.20 90.00
Space group Cm (No. 8)
One atom of each set of equivalent atoms:
Rb 0.0000 0.0000 0.0000
Nb 0.2552 0.5000 0.9451
Tl 0.3492 0.0000 0.4713
As 0.1270 0.5000 0.5333
Pd 0.1938 0.0000 0.4120

* volume: 242 Å³/cell
* magnetization: 0.00 μB/f.u.

Entry three
A plane-wave DFT calculation with PBE was carried out for a geometry-optimized RbNbTlAsPd structure.

a b c (Å): 3.5058 3.5058 19.4135
angles (deg): 90.00 90.00 90.00
Space group I4mm (No. 107)
One atom of each set of equivalent atoms:
Rb 0.0000 0.0000 0.0000
Nb 0.0000 0.0000 0.8060
Tl 0.0000 0.0000 0.6424
As 0.0000 0.0000 0.3585
Pd 0.0000 0.0000 0.2224

* volume: 239 Å³/cell
* magnetization: 0.00 μB/f.u.

Entry four
A plane-wave DFT calculation with PBE was carried out for a geometry-optimized RbNbTlAsPd structure.

a b c (Å): 3.6692 3.7177 9.6160
angles (deg): 90.00 100.93 90.00
Space group Pm (No. 6)
One atom of each set of equivalent atoms:
Rb 0.0000 0.0000 0.0000
Nb 0.3256 0.5000 0.6569
Tl 0.6451 0.5000 0.2928
As 0.8105 0.0000 0.6268
Pd 0.2101 0.0000 0.4237

* volume: 129 Å³/cell
* magnetization: 0.10 μB/f.u.

Energies relative to the most stable structure, in meV per atom: entry one 252; entry two 90; entry three 0; entry four 173.

Entry one
A plane-wave DFT calculation with PBE was carried out for a geometry-optimized RbNbTlAsPd structure.

a b c (Å): 8.1511 3.9704 9.4565
angles (deg): 90.00 113.07 90.00
Space group Cm (No. 8)
One atom of each set of equivalent atoms:
Rb 0.0000 0.0000 0.0000
Nb 0.1892 0.0000 0.6077
Tl 0.4484 0.0000 0.3173
As 0.0506 0.5000 0.7114
Pd 0.3382 0.5000 0.5175

* volume: 282 Å³/cell
* magnetization: 0.00 μB/f.u.

Entry two
A plane-wave DFT calculation with PBE was carried out for a geometry-optimized RbNbTlAsPd structure.

a b c (Å): 9.1566 3.6189 9.0653
angles (deg): 90.00 115.78 90.00
Space group Cm (No. 8)
One atom of each set of equivalent atoms:
Rb 0.0000 0.0000 0.0000
Nb 0.3404 0.0000 0.4950
Tl 0.1435 0.0000 0.6754
As 0.3344 0.5000 0.2886
Pd 0.0886 0.5000 0.3934

* volume: 270 Å³/cell
* magnetization: 0.00 μB/f.u.

Energies relative to the most stable structure, in meV per atom: entry one 27; entry two 0.